(1)
A relaxed structure of Pr5HPb2, computed with PBE-GGA.

Unit cell a=6.915 b=6.915 c=6.915 alpha=116.79 beta=116.79 gamma=95.65
Fractional positions:
Pr 0.000 0.000 0.000
Pr 0.003 0.003 0.498
Pr 0.003 0.505 0.000
Pr 0.505 0.003 0.000
Pr 0.505 0.505 0.502
H 0.742 0.742 0.000
Pb 0.003 0.503 0.500
Pb 0.503 0.003 0.500

Electronic total energy: -37.07 eV/f.u.



(2)
A relaxed structure of Ac4IrRh2S, computed with PBE-GGA.

Unit cell a=7.488 b=4.309 c=7.550 alpha=90.00 beta=108.99 gamma=90.00
Fractional positions:
Ac 0.240 0.000 0.242
Ac 0.246 0.500 0.749
Ac 0.754 0.500 0.251
Ac 0.760 0.000 0.758
Ir 0.000 0.000 0.500
Rh 0.000 0.500 0.000
Rh 0.500 0.000 0.000
S 0.500 0.500 0.500

Electronic total energy: -51.49 eV/f.u.



(3)
A relaxed structure of Al2HgBr, computed with PBE-GGA.

Unit cell a=3.327 b=4.875 c=5.699 alpha=90.00 beta=90.00 gamma=90.00
Fractional positions:
Al 0.000 0.000 0.000
Al 0.500 0.000 0.500
Hg 0.000 0.500 0.500
Br 0.500 0.500 0.000

Energy relative to the lowest polymorph listed for this composition: 135 meV per atom
Electronic total energy: -8.95 eV/f.u.



(4)
A relaxed structure of K3Br2, computed with PBE-GGA.

Unit cell a=9.337 b=9.337 c=9.337 alpha=51.92 beta=51.92 gamma=51.92
Fractional positions:
K 0.073 0.750 0.427
K 0.250 0.573 0.927
K 0.427 0.073 0.750
K 0.573 0.927 0.250
K 0.750 0.427 0.073
K 0.927 0.250 0.573
Br 0.162 0.162 0.162
Br 0.338 0.338 0.338
Br 0.662 0.662 0.662
Br 0.838 0.838 0.838

Energy relative to the lowest polymorph listed for this composition: 71 meV per atom
Electronic total energy: -13.12 eV/f.u.



(5)
A relaxed structure of AcAgF2, computed with PBE-GGA.

Unit cell a=6.101 b=6.101 c=6.101 alpha=41.29 beta=41.29 gamma=41.29
Fractional positions:
Ac 0.000 0.000 0.000
Ag 0.500 0.500 0.500
F 0.304 0.304 0.304
F 0.696 0.696 0.696

Electronic total energy: -20.95 eV/f.u.



(6)
A relaxed structure of Cs2KHgI4, computed with PBE-GGA.

Unit cell a=17.253 b=15.217 c=9.493 alpha=85.24 beta=61.51 gamma=33.25
Fractional positions:
Cs 0.064 0.064 0.686
Cs 0.314 0.314 0.936
Cs 0.686 0.686 0.064
Cs 0.936 0.936 0.314
K 0.125 0.125 0.125
K 0.875 0.875 0.875
Hg 0.375 0.375 0.375
Hg 0.625 0.625 0.625
I 0.047 0.314 0.462
I 0.314 0.047 0.678
I 0.322 0.538 0.686
I 0.462 0.678 0.047
I 0.538 0.322 0.953
I 0.678 0.462 0.314
I 0.686 0.953 0.322
I 0.953 0.686 0.538

Electronic total energy: -17.62 eV/f.u.



(7)
A relaxed structure of Ho2SiRu, computed with PBE-GGA.

Unit cell a=3.497 b=3.497 c=6.659 alpha=90.00 beta=90.00 gamma=90.00
Fractional positions:
Ho 0.000 0.000 0.243
Ho 0.000 0.000 0.757
Si 0.500 0.500 0.500
Ru 0.500 0.500 0.000

Energy relative to the lowest polymorph listed for this composition: 144 meV per atom
Electronic total energy: -25.78 eV/f.u.



(8)
A relaxed structure of ScRe3Sb, computed with PBE-GGA.

Unit cell a=4.831 b=4.831 c=4.831 alpha=90.00 beta=90.00 gamma=90.00
Fractional positions:
Sc 0.000 0.000 0.000
Re 0.000 0.500 0.500
Re 0.500 0.000 0.500
Re 0.500 0.500 0.000
Sb 0.500 0.500 0.500

Energy relative to the lowest polymorph listed for this composition: 0 meV per atom
Electronic total energy: -37.90 eV/f.u.



Results for total magnetic moment: 0.0; 0.0; 0.0; 0.9; 0.0; 0.0; 0.0; 2.0 (in μB per cell, following the order of the records).